# 1
The following is a PBE calculation of an optimized crystal structure of Y2Be4GePt3, from Alexandria via LeMat-Bulk.

Computed properties:
formation energy	-7.65	eV/f.u.
theoretical density	9.4	g/cm3
calculated volume	15.45	A^3/atom
final energy	-5.823	eV per atom

Unit cell a=3.963 b=3.963 c=9.840 alpha=90.00 beta=90.00 gamma=90.00
Space group P-4m2 (No. 115)
Symmetry-distinct sites (fractional):
Y1 0.000 0.500 0.248 [2 per cell]
Be1 0.000 0.000 0.000 [1 per cell]
Be2 0.000 0.500 0.641 [2 per cell]
Be3 0.500 0.500 0.000 [1 per cell]
Ge1 0.000 0.000 0.500 [1 per cell]
Pt1 0.000 0.500 0.880 [2 per cell]
Pt2 0.500 0.500 0.500 [1 per cell]

# 2
The following is a PBE calculation of an optimized crystal structure of Y2BeGe3Pt4, from Alexandria via LeMat-Bulk.

Computed properties:
formation energy	-8.92	eV/f.u.
theoretical density	10.9	g/cm3
calculated volume	18.03	A^3/atom
final energy	-6.359	eV per atom

Unit cell a=4.206 b=4.206 c=10.188 alpha=90.00 beta=90.00 gamma=90.00
Space group P-4m2 (No. 115)
Symmetry-distinct sites (fractional):
Y1 0.000 0.500 0.238 [2 per cell]
Be1 0.500 0.500 0.000 [1 per cell]
Ge1 0.000 0.000 0.000 [1 per cell]
Ge2 0.000 0.500 0.640 [2 per cell]
Pt1 0.000 0.000 0.500 [1 per cell]
Pt2 0.000 0.500 0.877 [2 per cell]
Pt3 0.500 0.500 0.500 [1 per cell]

# 3
The following is a PBE calculation of an optimized crystal structure of Be2Zn2GePt5, from Alexandria via LeMat-Bulk.

Computed properties:
formation energy	-4.89	eV/f.u.
theoretical density	14.0	g/cm3
calculated volume	14.19	A^3/atom
final energy	-4.971	eV per atom

Unit cell a=9.123 b=9.123 c=3.410 alpha=90.00 beta=90.00 gamma=90.00
Space group P4/mbm (No. 127)
Symmetry-distinct sites (fractional):
Be1 0.126 0.374 0.000 [4 per cell]
Zn1 0.170 0.670 0.000 [4 per cell]
Ge1 0.000 0.000 0.000 [2 per cell]
Pt1 0.000 0.500 0.500 [2 per cell]
Pt2 0.084 0.202 0.500 [8 per cell]

# 4
The following is a PBE calculation of an optimized crystal structure of Pu2BeGe3, from Alexandria via LeMat-Bulk.

Computed properties:
E above lowest polymorph	0	meV/atom
formation energy	-2.20	eV/f.u.
theoretical density	10.1	g/cm3
calculated volume	19.65	A^3/atom
final energy	-8.073	eV per atom

Unit cell a=8.111 b=8.223 c=14.144 alpha=90.00 beta=90.00 gamma=90.00
Space group Fmmm (No. 69)
Symmetry-distinct sites (fractional):
Pu1 0.000 0.240 0.000 [8 per cell]
Pu2 0.250 0.250 0.250 [8 per cell]
Be1 0.000 0.000 0.333 [8 per cell]
Ge1 0.000 0.000 0.176 [8 per cell]
Ge2 0.233 0.000 0.412 [16 per cell]